Record 1
Compound: AcPrTeN
Source: the Alexandria database
Functional: GGA-PBE
Structure: optimized geometry

It has space group Imm2 (No. 44), with a = 3.988 Å, b = 4.088 Å, c = 13.865 Å, α = 90.00°, β = 90.00° and γ = 90.00°. The distinct sites, in fractional coordinates, are Ac at (0.000, 0.000, 0.000), Pr at (0.000, 0.000, 0.301), Te at (0.000, 0.000, 0.659) and N at (0.000, 0.500, 0.898).

The value obtained for the density of states at the Fermi level is 1.407 states/eV/f.u. The calculation puts the formation energy (no corrections) at -498 kJ/mol of formula units. For the volume, the calculation gives 226.1 Å³/cell. The calculation puts the total moment at 0.91 μB/f.u.

***

Record 2
Compound: NaPmHo2
Source: the Alexandria database
Functional: GGA-PBE
Structure: optimized geometry

It has space group P4/mmm (No. 123), with a = 3.568 Å, b = 3.568 Å, c = 10.472 Å, α = 90.00°, β = 90.00° and γ = 90.00°. The distinct sites, in fractional coordinates, are Na at (0.000, 0.000, 0.000), Pm at (0.000, 0.000, 0.500) and Ho at (0.500, 0.500, 0.267).

The relative energy among the computed polymorphs comes out at 0.000 eV/atom. For the energy relative to the elements, the calculation gives 0.1511 eV/atom. The value obtained for the density of states at the Fermi level is 5.160 states/eV/f.u. For the volume, the calculation gives 133.3 Å³/cell. The calculation puts the total moment at 0.00 μB/f.u.

***

Record 3
Compound: VGe3Sb
Source: the Alexandria database
Functional: GGA-PBE
Structure: optimized geometry

It has space group Pm-3m (No. 221), with a = 4.828 Å, b = 4.828 Å, c = 4.828 Å, α = 90.00°, β = 90.00° and γ = 90.00°. The distinct sites, in fractional coordinates, are V at (0.000, 0.000, 0.000), Ge at (0.000, 0.000, 0.500) and Sb at (0.500, 0.500, 0.500).

The relative energy among the computed polymorphs comes out at 0.000 eV/atom. The value obtained for the density of states at the Fermi level is 4.315 states/eV/f.u. The calculation puts the formation energy (no corrections) at 191 kJ/mol of formula units. For the volume, the calculation gives 112.5 Å³/cell. The calculation puts the total moment at 0.47 μB/f.u.

***

Record 4
Compound: AlHgOs2
Source: the Alexandria database
Functional: GGA-PBE
Structure: optimized geometry

It has space group Immm (No. 71), with a = 2.920 Å, b = 4.535 Å, c = 9.565 Å, α = 90.00°, β = 90.00° and γ = 90.00°. The distinct sites, in fractional coordinates, are Al at (0.000, 0.000, 0.000), Hg at (0.000, 0.000, 0.500) and Os at (0.000, 0.500, 0.284).

The relative energy among the computed polymorphs comes out at 0.216 eV/atom. For the energy relative to the elements, the calculation gives 0.4160 eV/atom. The value obtained for the density of states at the Fermi level is 3.022 states/eV/f.u. For the volume, the calculation gives 126.7 Å³/cell. The calculation puts the total moment at 0.00 μB/f.u.